A plane-wave DFT calculation with GGA-PBE was carried out for a relaxed structure of TaHg.

Structure (POSCAR):
```
TaHg
1.0
4.827 0.000 0.000
2.414 4.181 0.000
2.414 1.394 3.942
Hg Ta
2 2
Cartesian
2.414 1.394 0.985 Hg
0.000 0.000 0.000 Hg
7.241 4.181 2.956 Ta
4.827 2.787 1.971 Ta
```

Output
Its space group is No. 227. For the electronic total energy, the calculation gives -5.34 eV per atom. The energy of formation is 0.74 eV/atom. The magnetization comes out at 0.0000 μB per atom. As for the density: 15.9 g cm⁻³.

A plane-wave DFT calculation with GGA-PBE was carried out for a relaxed structure of LaTeIr2.

Structure (POSCAR):
```
LaTeIr2
1.0
4.908 0.000 0.000
0.000 4.908 0.000
2.454 2.454 8.739
Ir Te La
4 2 2
Cartesian
3.681 4.465 6.554 Ir
6.135 5.351 6.554 Ir
2.011 3.681 2.185 Ir
2.897 1.227 2.185 Ir
2.454 2.454 0.000 Te
2.454 4.908 4.369 Te
0.000 0.000 0.000 La
4.908 2.454 4.369 La
```

Output
For the energy relative to the elements, uncorrected, the calculation gives -18 kJ/mol of atoms. Its space group is No. 122. For the electronic total energy, the calculation gives -6.64 eV per atom. The magnetization comes out at 0.0000 μB per atom. As for the density: 10.3 g cm⁻³.

A plane-wave DFT calculation with GGA-PBE was carried out for a relaxed structure of Sr2CuHgH.

Structure (POSCAR):
```
Sr2CuHgH
1.0
5.501 0.000 0.000
0.000 5.501 0.000
0.000 0.000 3.867
Cu Sr Hg H
1 2 1 1
Cartesian
0.000 0.000 1.933 Cu
2.750 0.000 0.000 Sr
0.000 2.750 0.000 Sr
2.750 2.750 1.933 Hg
0.000 0.000 0.000 H
```

Output
Its space group is No. 123. For the electronic total energy, the calculation gives -2.50 eV per atom. The magnetization comes out at 0.0000 μB per atom. As for the density: 6.3 g cm⁻³.

A plane-wave DFT calculation with GGA-PBE was carried out for a relaxed structure of ZrReMo.

Structure (POSCAR):
```
ZrReMo
1.0
-1.964 -0.907 4.899
-2.352 -2.208 -4.275
5.153 -6.986 0.773
Re Zr Mo
4 4 4
Cartesian
-1.141 -0.910 -0.621 Re
0.546 -4.621 3.724 Re
-2.286 -1.985 -2.702 Re
-3.242 -2.426 -0.318 Re
1.343 -6.609 -0.684 Zr
2.096 -7.020 2.473 Zr
-0.636 -3.926 -0.981 Zr
-1.130 -2.646 1.989 Zr
-0.691 -2.635 5.079 Mo
1.914 -6.168 5.470 Mo
-0.606 -5.702 1.637 Mo
1.509 -4.176 1.332 Mo
```

Output
The energy above the lowest structure with this stoichiometry is 6 meV/atom. Its space group is No. 38. For the electronic total energy, the calculation gives -10.86 eV per atom. The energy of formation is -0.25 eV/atom. The magnetization comes out at 0.0000 μB per atom. As for the density: 11.4 g cm⁻³.

A plane-wave DFT calculation with GGA-PBE was carried out for a relaxed structure of CaThSbAu.

Structure (POSCAR):
```
CaThSbAu
1.0
-1.244 3.019 -4.222
-4.819 2.269 -0.330
-0.505 5.284 0.554
Th Au Sb Ca
1 1 1 1
Cartesian
-4.926 7.929 -2.999 Th
0.000 0.000 0.000 Au
-3.284 5.286 -1.999 Sb
-1.642 2.643 -1.000 Ca
```

Output
For the energy relative to the elements, uncorrected, the calculation gives -63 kJ/mol of atoms. Its space group is No. 216. For the electronic total energy, the calculation gives -4.86 eV per atom. The magnetization comes out at 0.0000 μB per atom. As for the density: 9.1 g cm⁻³.

A plane-wave DFT calculation with GGA-PBE was carried out for a relaxed structure of Rb3Pr3HfTe8.

Structure (POSCAR):
```
Rb3Pr3HfTe8
1.0
-3.623 -5.990 -5.777
7.729 4.252 -2.126
0.646 -7.287 7.151
Rb Pr Te Hf
3 3 8 1
Cartesian
3.865 2.126 -1.063 Rb
2.053 -0.869 -3.951 Rb
0.000 0.000 0.000 Rb
4.188 -1.518 2.512 Pr
2.376 -4.513 -0.376 Pr
-1.489 -6.639 0.687 Pr
3.312 -1.464 -0.559 Te
1.439 -7.562 -0.192 Te
-2.446 -6.810 -2.378 Te
3.032 -4.507 2.771 Te
5.245 -5.444 -1.488 Te
1.720 -4.519 -3.523 Te
7.197 -2.215 1.626 Te
-0.493 -3.582 0.736 Te
0.323 -3.643 3.575 Hf
```

Output
For the energy relative to the elements, uncorrected, the calculation gives -123 kJ/mol of atoms. Its space group is No. 166. For the electronic total energy, the calculation gives -4.76 eV per atom. The magnetization comes out at 0.0000 μB per atom. As for the density: 5.0 g cm⁻³.